3
Lattice="3.2999 0.0000 0.0000 -1.6500 2.8578 0.0000 0.0000 0.0000 5.5856" Properties=species:S:1:pos:R:3 comment="LiPPt, optimized geometry, DFT PBE" delta_e_f_ev_per_atom=-0.33 density_g_cm3=7.3 magmom_total_mub_per_atom=0.000 crystal_system=trigonal pbc="T T T"
Pt 0.0000 1.9052 3.4088
Li 0.0000 0.0000 0.0680
P 1.6500 0.9526 2.1088